1.
## Li4Hg3Sb3 (GGA-PBE)

Data for a relaxed Li4Hg3Sb3 crystal.

Formation energy from raw total energies   -0.2557 eV/atom
Symmetry   I-43d

Cell: 8.452 8.452 8.452 Å, 109.47 109.47 109.47°
Atoms (fractional coordinates):
Li: 0.000 0.262 0.500
Li: 0.000 0.762 0.500
Li: 0.238 0.238 0.238
Li: 0.262 0.500 0.000
Li: 0.500 0.000 0.262
Li: 0.500 0.000 0.762
Li: 0.738 0.738 0.738
Li: 0.762 0.500 0.000
Hg: 0.125 0.875 0.250
Hg: 0.250 0.125 0.875
Hg: 0.375 0.625 0.750
Hg: 0.625 0.750 0.375
Hg: 0.750 0.375 0.625
Hg: 0.875 0.250 0.125
Sb: 0.125 0.750 0.875
Sb: 0.250 0.625 0.375
Sb: 0.375 0.250 0.625
Sb: 0.625 0.375 0.250
Sb: 0.750 0.875 0.125
Sb: 0.875 0.125 0.750

2.
## LiHg2SbSe4 (GGA-PBE)

Data for a relaxed LiHg2SbSe4 crystal.

Formation energy from raw total energies   -0.3483 eV/atom
Symmetry   I-42m

Cell: 7.659 7.659 7.659 Å, 132.06 132.06 70.13°
Atoms (fractional coordinates):
Li: 0.000 0.000 0.000
Hg: 0.250 0.750 0.500
Hg: 0.750 0.250 0.500
Sb: 0.500 0.500 0.000
Se: 0.112 0.641 0.000
Se: 0.359 0.359 0.471
Se: 0.641 0.112 0.000
Se: 0.888 0.888 0.529

3.
## LiSnHgSb (GGA-PBE)

Data for a relaxed LiSnHgSb crystal.

Formation energy from raw total energies   -0.1363 eV/atom
Symmetry   F-43m

Cell: 5.246 5.246 5.246 Å, 60.00 60.00 60.00°
Atoms (fractional coordinates):
Li: 0.000 0.000 0.000
Sn: 0.500 0.500 0.500
Hg: 0.250 0.250 0.250
Sb: 0.750 0.750 0.750

4.
## LiSnHgSb (GGA-PBE)

Data for a relaxed LiSnHgSb crystal.

Formation energy from raw total energies   -0.1567 eV/atom
Symmetry   Cm

Cell: 4.403 4.403 6.854 Å, 111.02 111.02 62.02°
Atoms (fractional coordinates):
Li: 0.000 0.000 0.000
Sn: 0.496 0.496 0.456
Hg: 0.262 0.262 0.779
Sb: 0.736 0.736 0.200

5.
## SrLiHg2Sb (GGA-PBE)

Data for a relaxed SrLiHg2Sb crystal.

Formation energy from raw total energies   -0.4213 eV/atom
Symmetry   P4/mmm

Cell: 5.050 5.050 5.398 Å, 90.00 90.00 90.00°
Atoms (fractional coordinates):
Sr: 0.000 0.000 0.000
Li: 0.500 0.500 0.500
Hg: 0.000 0.500 0.500
Hg: 0.500 0.000 0.500
Sb: 0.500 0.500 0.000

6.
## LiTbHgSb (GGA-PBE)

Data for a relaxed LiTbHgSb crystal.

Formation energy from raw total energies   -0.5518 eV/atom
Symmetry   F-43m

Cell: 5.144 5.144 5.144 Å, 60.00 60.00 60.00°
Atoms (fractional coordinates):
Li: 0.000 0.000 0.000
Tb: 0.500 0.500 0.500
Hg: 0.250 0.250 0.250
Sb: 0.750 0.750 0.750

7.
## LiThHgSb (GGA-PBE)

Data for a relaxed LiThHgSb crystal.

Formation energy from raw total energies   -0.4029 eV/atom
Symmetry   F-43m

Cell: 5.244 5.244 5.244 Å, 60.00 60.00 60.00°
Atoms (fractional coordinates):
Li: 0.000 0.000 0.000
Th: 0.500 0.500 0.500
Hg: 0.750 0.750 0.750
Sb: 0.250 0.250 0.250

8.
## Li2TlHg2Sb2 (GGA-PBE)

Data for a relaxed Li2TlHg2Sb2 crystal.

Formation energy from raw total energies   -0.2322 eV/atom
Symmetry   R-3m

Cell: 9.442 9.442 9.442 Å, 29.36 29.36 29.36°
Atoms (fractional coordinates):
Li: 0.141 0.141 0.141
Li: 0.859 0.859 0.859
Tl: 0.000 0.000 0.000
Hg: 0.445 0.445 0.445
Hg: 0.555 0.555 0.555
Sb: 0.255 0.255 0.255
Sb: 0.745 0.745 0.745